(1)
This record from Alexandria describes a relaxed Li3AlS3 crystal. The functional is PBE.

a b c (Å): 6.9133 6.9213 11.5030
angles (deg): 94.60 90.00 90.00
Closest atoms and distances in Å follow each position.
Positions (direct):
Li 0.9013 0.7002 0.7938  4 S 2.43-2.59
Li 0.8451 0.6362 0.0862  4 S 2.43-2.50
Li 0.3451 0.3638 0.4138  4 S 2.43-2.50
Li 0.7493 0.3259 0.3446  4 S 2.45-2.66
Li 0.6549 0.6362 0.5862  4 S 2.43-2.50
Li 0.4013 0.2998 0.7062  4 S 2.43-2.59
Li 0.5987 0.7002 0.2938  4 S 2.43-2.59
Li 0.2493 0.6741 0.1554  4 S 2.45-2.66
Li 0.1549 0.3638 0.9138  4 S 2.43-2.50
Li 0.7507 0.3259 0.8446  4 S 2.45-2.66
Li 0.2507 0.6741 0.6554  4 S 2.45-2.66
Li 0.0987 0.2998 0.2062  4 S 2.43-2.59
S 0.0619 0.1405 0.3906  2 Al 2.30-2.31, 2 Li 2.48-2.50
S 0.6136 0.2815 0.5373  1 Al 2.22, 3 Li 2.43-2.45
S 0.9461 0.6217 0.2923  1 Al 2.24, 2 Li 2.46-2.48
S 0.4381 0.1405 0.8906  2 Al 2.30-2.31, 2 Li 2.48-2.50
S 0.3864 0.7185 0.4627  1 Al 2.22, 3 Li 2.43-2.45
S 0.5619 0.8595 0.1094  2 Al 2.30-2.31, 2 Li 2.48-2.50
S 0.0539 0.3783 0.7077  1 Al 2.24, 2 Li 2.46-2.48
S 0.1136 0.7185 0.9627  1 Al 2.22, 3 Li 2.43-2.45
S 0.5539 0.6217 0.7923  1 Al 2.24, 2 Li 2.46-2.48
S 0.4461 0.3783 0.2077  1 Al 2.24, 2 Li 2.46-2.48
S 0.8864 0.2815 0.0373  1 Al 2.22, 3 Li 2.43-2.45
S 0.9381 0.8595 0.6094  2 Al 2.30-2.31, 2 Li 2.48-2.50
Al 0.9110 0.1793 0.5699  4 S 2.22-2.31
Al 0.4110 0.8207 0.9301  4 S 2.22-2.31
Al 0.0890 0.8207 0.4301  4 S 2.22-2.31
Al 0.5890 0.1793 0.0699  4 S 2.22-2.31

Properties
SG: P2_1/c
offset from the most stable computed form: 0.000 eV/atom
crystal system: monoclinic

=====

(2)
This record from Alexandria describes a relaxed LiAlS2 crystal. The functional is PBE.

a b c (Å): 3.5428 3.5428 6.4409
angles (deg): 90.00 90.00 120.00
Closest atoms and distances in Å follow each position.
Positions (direct):
Al 0.0000 0.0000 0.9962  6 S 2.39-2.51
S 0.3333 0.6667 0.8050  3 Al 2.39, 1 Li 2.40
S 0.6667 0.3333 0.2211  3 Li 2.46, 3 Al 2.51
Li 0.3333 0.6667 0.4328  4 S 2.40-2.46

Properties
SG: P3m1
crystal system: trigonal

=====

(3)
This record from Alexandria describes a relaxed LiAlS2 crystal. The functional is PBE.

a b c (Å): 6.9888 3.7334 6.5960
angles (deg): 90.00 88.21 90.00
Closest atoms and distances in Å follow each position.
Positions (direct):
Li 0.9414 0.8466 0.0871  4 S 2.38-2.64
Li 0.6155 0.8466 0.5904  4 S 2.42-2.51
Al 0.1299 0.3466 0.3869  4 S 2.27-2.30
Al 0.4639 0.3466 0.0984  4 S 2.26-2.30
S 0.9643 0.8466 0.4863  2 Al 2.28, 1 Li 2.51
S 0.1480 0.3466 0.0382  2 Al 2.26-2.30, 2 Li 2.38
S 0.6148 0.8466 0.9684  2 Al 2.30, 2 Li 2.44-2.49
S 0.4481 0.3466 0.4436  2 Al 2.27-2.28, 2 Li 2.42

Properties
SG: Pm
crystal system: monoclinic

=====

(4)
This record from Alexandria describes a relaxed LiAl6S8 crystal. The functional is PBE.

a b c (Å): 6.6878 6.6878 6.6878
angles (deg): 94.78 94.78 94.78
Closest atoms and distances in Å follow each position.
Positions (direct):
S 0.1364 0.7043 0.3941  4 Al 2.37-2.49
S 0.2957 0.6059 0.8636  4 Al 2.37-2.49
S 0.8636 0.2957 0.6059  4 Al 2.37-2.49
S 0.7725 0.7725 0.7725  3 Al 2.36, 1 Li 2.41
S 0.7043 0.3941 0.1364  4 Al 2.37-2.49
S 0.6059 0.8636 0.2957  4 Al 2.37-2.49
S 0.3941 0.1364 0.7043  4 Al 2.37-2.49
S 0.2275 0.2275 0.2275  3 Al 2.36, 1 Li 2.41
Al 0.3887 0.5514 0.2031  5 S 2.36-2.49
Al 0.5514 0.2031 0.3887  5 S 2.36-2.49
Al 0.6113 0.4486 0.7969  5 S 2.36-2.49
Al 0.4486 0.7969 0.6113  5 S 2.36-2.49
Al 0.2031 0.3887 0.5514  5 S 2.36-2.49
Al 0.7969 0.6113 0.4486  5 S 2.36-2.49
Li 0.0000 0.0000 0.0000  2 S 2.41

Properties
SG: R-3
crystal system: trigonal

=====

(5)
This record from Alexandria describes a relaxed LiAlS2 crystal. The functional is PBE.

a b c (Å): 8.8509 8.8509 4.9777
angles (deg): 90.00 90.00 157.23
Closest atoms and distances in Å follow each position.
Positions (direct):
Al 0.3270 0.6730 0.2500  3 S 2.19-2.35
Al 0.6730 0.3270 0.7500  3 S 2.19-2.35
S 0.7990 0.2010 0.7500  1 Al 2.19, 1 Li 2.37
S 0.9175 0.0825 0.2500  2 Al 2.35, 3 Li 2.51-2.55
S 0.2010 0.7990 0.2500  1 Al 2.19, 1 Li 2.37
S 0.0825 0.9175 0.7500  2 Al 2.35, 3 Li 2.51-2.55
Li 0.9358 0.0642 0.7500  4 S 2.37-2.55
Li 0.0642 0.9358 0.2500  4 S 2.37-2.55

Properties
SG: Cmcm
crystal system: orthorhombic

=====

(6)
This record from Alexandria describes a relaxed LiAlS2 crystal. The functional is PBE.

a b c (Å): 3.8017 5.3816 8.0195
angles (deg): 90.01 90.00 89.97
Closest atoms and distances in Å follow each position.
Positions (direct):
Al 0.2015 0.8822 0.2384  4 S 2.14-2.36
Al 0.7015 0.3821 0.9777  4 S 2.14-2.36
Li 0.2001 0.8418 0.7201  3 S 2.36-2.41
Li 0.7001 0.3419 0.4956  3 S 2.36-2.41
S 0.7006 0.5855 0.7478  1 Al 2.14, 2 Li 2.36
S 0.2017 0.1237 0.9971  3 Al 2.33-2.36
S 0.2006 0.0857 0.4682  1 Al 2.14, 2 Li 2.36
S 0.7017 0.6237 0.2190  3 Al 2.33-2.36

Properties
SG: Pc
crystal system: monoclinic

=====

(7)
This record from Alexandria describes a relaxed LiAlS2 crystal. The functional is PBE.

a b c (Å): 3.4904 3.4904 6.5988
angles (deg): 74.66 74.66 60.00
Closest atoms and distances in Å follow each position.
Positions (direct):
S 0.0719 0.0719 0.7844  3 Al 2.43, 3 Li 2.70
S 0.2611 0.2611 0.2167  3 Al 2.43, 3 Li 2.69
Al 0.6668 0.6668 0.9996  6 S 2.43
Li 0.5002 0.5002 0.4993  6 S 2.69-2.70

Properties
SG: R3m
crystal system: trigonal

=====

(8)
This record from Alexandria describes a relaxed LiAlS2 crystal. The functional is PBE.

a b c (Å): 13.4940 7.2011 7.2011
angles (deg): 79.23 104.80 75.20
Closest atoms and distances in Å follow each position.
Positions (direct):
S 0.4638 0.4542 0.7492  2 Al 2.27-2.28
S 0.2419 0.8041 0.8663  2 Al 2.27-2.30, 1 Li 2.53
S 0.9646 0.7545 0.5539  2 Al 2.26-2.29
S 0.4646 0.9461 0.7455  2 Al 2.26-2.29
S 0.5354 0.0539 0.2545  2 Al 2.26-2.29
S 0.7500 0.6841 0.1841  2 Al 2.26
S 0.9638 0.7508 0.0458  2 Al 2.27-2.28
S 0.2581 0.3663 0.3041  2 Al 2.27-2.30, 1 Li 2.53
S 0.7500 0.1561 0.6561  2 Al 2.21
S 0.0354 0.2455 0.4461  2 Al 2.26-2.29
S 0.0362 0.2492 0.9542  2 Al 2.27-2.28
S 0.2500 0.8439 0.3439  2 Al 2.21
S 0.5362 0.5458 0.2508  2 Al 2.27-2.28
S 0.2500 0.3159 0.8159  2 Al 2.26
S 0.7419 0.6337 0.6959  2 Al 2.27-2.30, 1 Li 2.53
S 0.7581 0.1959 0.1337  2 Al 2.27-2.30, 1 Li 2.53
Al 0.1526 0.1612 0.2718  4 S 2.21-2.30
Al 0.8474 0.8388 0.7282  4 S 2.21-2.30
Al 0.1387 0.1297 0.7712  4 S 2.26-2.27
Al 0.3474 0.7718 0.6612  4 S 2.21-2.30
Al 0.6526 0.2282 0.3388  4 S 2.21-2.30
Al 0.8613 0.8703 0.2288  4 S 2.26-2.27
Al 0.3613 0.2712 0.6297  4 S 2.26-2.27
Al 0.6387 0.7288 0.3703  4 S 2.26-2.27
Li 0.3816 0.4078 0.0837  5 S 2.58-2.87
Li 0.8873 0.4460 0.5742  4 S 2.53-2.80
Li 0.8816 0.4163 0.0922  5 S 2.58-2.87
Li 0.6184 0.5922 0.9163  5 S 2.58-2.87
Li 0.6127 0.0742 0.9460  4 S 2.53-2.80
Li 0.1184 0.5837 0.9078  5 S 2.58-2.87
Li 0.1127 0.5540 0.4258  4 S 2.53-2.80
Li 0.3873 0.9258 0.0540  4 S 2.53-2.80

Properties
SG: C2/c
crystal system: monoclinic

=====

Ordered D(E_F) results: 0.0, 0.0, 0.0, 6.6, 0.0, 0.0, 0.0, 0.0; unit states/eV per cell.
Ordered ΔE_f (raw) results: -1.241, -1.192, -1.234, -0.790, -0.801, -1.173, -1.179, -1.189; unit eV/atom.